(1)
# TePHF PBE-GGA relaxed
# * D(E_F): 0.31 states/eV/atom
# * energy above the lowest structure with this stoichiometry: 212.9 meV per atom
# * crystal system: triclinic
# * size of the total moment: 0.0 μB per formula unit
# * total DFT energy (no corrections): -3.845 eV per atom
data_TePHF
_cell_length_a 4.5562
_cell_length_b 4.6683
_cell_length_c 5.0178
_cell_angle_alpha 67.51
_cell_angle_beta 89.77
_cell_angle_gamma 88.75
_symmetry_space_group_name_H-M 'P 1'
_symmetry_Int_Tables_number 1
loop_
_symmetry_equiv_pos_as_xyz
'x,y,z'
loop_
_atom_site_label
_atom_site_fract_x
_atom_site_fract_y
_atom_site_fract_z
Te1 0.0000 0.0000 0.0000
P1 0.5066 0.6924 0.1661
H1 0.0049 0.8466 0.7461
F1 0.5039 0.7351 0.4796


(2)
# Rb3BaMg2Cl9 PBE-GGA relaxed
# * D(E_F): 0.00 states/eV/atom
# * crystal system: trigonal
# * raw formation energy: -2.0039 eV per atom
# * size of the total moment: 0.0 μB per formula unit
# * total DFT energy (no corrections): -3.646 eV per atom
data_Rb3BaMg2Cl9
_cell_length_a 7.4026
_cell_length_b 7.4026
_cell_length_c 9.8887
_cell_angle_alpha 90.00
_cell_angle_beta 90.00
_cell_angle_gamma 120.00
_symmetry_space_group_name_H-M 'P -3 m 1'
_symmetry_Int_Tables_number 164
_symmetry_space_group_name_Hall '-P 3 2"'
loop_
_atom_site_label
_atom_site_fract_x
_atom_site_fract_y
_atom_site_fract_z
Rb1 0.0000 0.0000 0.0000
Rb2 0.3333 0.6667 0.7330
Ba1 0.0000 0.0000 0.5000
Mg1 0.3333 0.6667 0.1537
Cl1 0.0000 0.5000 0.0000
Cl2 0.1741 0.3482 0.2946


(3)
# Ba4Li3Tl2 PBE-GGA relaxed
# * formation energy: -1.45 eV per formula unit
# * D(E_F): 1.03 states/eV/atom
# * crystal system: monoclinic
# * size of the total moment: 0.0 μB per formula unit
# * total DFT energy (no corrections): -2.179 eV per atom
data_Ba4Li3Tl2
_cell_length_a 18.5624
_cell_length_b 4.6818
_cell_length_c 8.4125
_cell_angle_alpha 90.00
_cell_angle_beta 105.58
_cell_angle_gamma 90.00
_symmetry_space_group_name_H-M 'C 1 2/m 1'
_symmetry_Int_Tables_number 12
loop_
_symmetry_equiv_pos_as_xyz
'x,y,z'
'-x,-y,-z'
'-x,y,-z'
'x,-y,z'
'x+1/2,y+1/2,z'
'-x+1/2,-y+1/2,-z'
'-x+1/2,y+1/2,-z'
'x+1/2,-y+1/2,z'
loop_
_atom_site_label
_atom_site_fract_x
_atom_site_fract_y
_atom_site_fract_z
Ba1 0.0758 0.0000 0.3663
Ba2 0.2375 0.5000 0.2070
Li1 0.0000 0.5000 0.0000
Li2 0.0894 0.5000 0.7356
Tl1 0.0971 0.0000 0.9561


(4)
# Tm4CoRu2 PBE-GGA relaxed
# * formation energy: -2.12 eV per formula unit
# * D(E_F): 0.87 states/eV/atom
# * crystal system: trigonal
# * size of the total moment: 0.1 μB per formula unit
# * total DFT energy (no corrections): -6.524 eV per atom
data_Tm4CoRu2
_cell_length_a 4.7335
_cell_length_b 4.7335
_cell_length_c 22.8291
_cell_angle_alpha 90.00
_cell_angle_beta 90.00
_cell_angle_gamma 120.00
_symmetry_space_group_name_H-M 'R -3 m'
_symmetry_Int_Tables_number 166
_symmetry_space_group_name_Hall '-R 3 2"'
loop_
_atom_site_label
_atom_site_fract_x
_atom_site_fract_y
_atom_site_fract_z
Tm1 0.0000 0.0000 0.1249
Tm2 0.0000 0.0000 0.3755
Co1 0.0000 0.0000 0.0000
Ru1 0.0000 0.0000 0.2520


- Number 3 is which compound?
  Ba4Li3Tl2